*1*
Here is an optimized crystal structure of CaCIO2 from Alexandria. Energies are from PBE-GGA.

Geometry as POSCAR:
```
CaCIO2
1.0
-0.1316 3.8033 -1.8330
-0.6193 -1.8315 -3.7556
-7.2692 0.2641 1.0699
I Ca C O
1 1 1 2
Direct
0.0000 0.0000 0.5000
0.0000 0.0000 0.0000
0.5000 0.5000 0.5000
0.0000 0.5000 0.0000
0.5000 0.0000 0.0000
```

***

*2*
Here is an optimized crystal structure of CaCIO2 from Alexandria. Energies are from PBE-GGA.

Geometry as POSCAR:
```
CaCIO2
1.0
-2.0840 2.9683 -2.0410
-3.4715 -1.0252 2.0536
1.0050 2.8532 3.1233
I Ca C O
1 1 1 2
Direct
0.0000 0.0000 0.5000
0.5000 0.5000 0.5000
0.0000 0.0000 0.0000
0.0000 0.5000 0.0000
0.5000 0.0000 0.0000
```

***

Which of them is least stable? Easy: *1*.